(1)
GaTeIrI2 (PBE, relaxed); M_tot = 0.00 μB/cell; uncorrected formation energy = 25.0 kJ per mole of atoms; E = -16.83 eV/cell
1.0
5.700 0.000 0.000
0.000 5.700 0.000
0.000 0.000 5.063
Ga Te Ir I
1 1 1 2
direct
0.000 0.000 0.000
0.500 0.500 0.000
0.500 0.500 0.500
0.000 0.500 0.500
0.500 0.000 0.500



(2)
GaTeIrI2 (PBE, relaxed); M_tot = 2.87 μB/cell; uncorrected formation energy = 115.3 kJ per mole of atoms; E = -12.15 eV/cell
1.0
5.424 0.000 0.000
0.000 5.424 0.000
0.000 0.000 5.480
Ga Te Ir I
1 1 1 2
direct
0.000 0.000 0.000
0.000 0.000 0.500
0.500 0.500 0.500
0.000 0.500 0.000
0.500 0.000 0.000



(3)
Tl2GaIrI (PBE, relaxed); M_tot = 0.00 μB/cell; uncorrected formation energy = -23.1 kJ per mole of atoms; E = -19.37 eV/cell
1.0
5.438 0.000 0.000
0.000 5.438 0.000
0.000 0.000 4.889
Tl Ga Ir I
2 1 1 1
direct
0.000 0.500 0.000
0.500 0.000 0.000
0.000 0.000 0.500
0.000 0.000 0.000
0.500 0.500 0.500



(4)
Zr2GaIrI (PBE, relaxed); M_tot = 0.00 μB/cell; uncorrected formation energy = 116.7 kJ per mole of atoms; E = -24.48 eV/cell
1.0
5.019 0.000 0.000
0.000 5.019 0.000
0.000 0.000 5.073
Zr Ga Ir I
2 1 1 1
direct
0.000 0.500 0.000
0.500 0.000 0.000
0.000 0.000 0.000
0.500 0.500 0.500
0.000 0.000 0.500



(5)
KGaI4 (PBE, relaxed); M_tot = 0.00 μB/cell; uncorrected formation energy = -81.5 kJ per mole of atoms; E = -30.79 eV/cell
1.0
8.762 0.000 0.000
0.000 8.762 0.000
0.000 0.000 8.065
K Ga I
2 2 8
direct
0.000 0.000 0.000
0.500 0.500 0.500
0.000 0.500 0.750
0.500 0.000 0.250
0.145 0.302 0.571
0.198 0.645 0.929
0.302 0.855 0.429
0.355 0.198 0.071
0.645 0.802 0.071
0.698 0.145 0.429
0.802 0.355 0.929
0.855 0.698 0.571



(6)
K3GaI (PBE, relaxed); M_tot = 0.55 μB/cell; uncorrected formation energy = -24.6 kJ per mole of atoms; E = -9.15 eV/cell
1.0
6.656 0.000 0.000
0.000 6.656 0.000
0.000 0.000 6.656
K Ga I
3 1 1
direct
0.000 0.000 0.500
0.000 0.500 0.000
0.500 0.000 0.000
0.500 0.500 0.500
0.000 0.000 0.000



(7)
KGa2I6 (PBE, relaxed); M_tot = 0.00 μB/cell; uncorrected formation energy = -62.0 kJ per mole of atoms; E = -44.46 eV/cell
1.0
8.228 -7.162 0.000
8.228 7.162 0.000
-3.373 0.000 8.219
K Ga I
2 4 12
direct
0.144 0.856 0.750
0.856 0.144 0.250
0.196 0.369 0.780
0.369 0.196 0.280
0.631 0.804 0.720
0.804 0.631 0.220
0.046 0.176 0.666
0.051 0.582 0.813
0.176 0.046 0.166
0.347 0.354 0.575
0.354 0.347 0.075
0.418 0.949 0.687
0.582 0.051 0.313
0.646 0.653 0.925
0.653 0.646 0.425
0.824 0.954 0.834
0.949 0.418 0.187
0.954 0.824 0.334



(8)
K6Ga3I14 (PBE, relaxed); M_tot = 0.00 μB/cell; uncorrected formation energy = -94.5 kJ per mole of atoms; E = -59.90 eV/cell
1.0
13.050 0.000 0.000
-6.525 11.301 0.000
0.000 0.000 7.076
K Ga I
6 3 14
direct
0.008 0.553 0.000
0.326 0.113 0.521
0.447 0.455 0.000
0.545 0.992 0.000
0.787 0.674 0.521
0.887 0.213 0.521
0.000 0.000 0.907
0.333 0.667 0.391
0.667 0.333 0.275
0.000 0.000 0.270
0.079 0.867 0.775
0.133 0.213 0.775
0.201 0.453 0.262
0.252 0.799 0.262
0.333 0.667 0.756
0.437 0.185 0.045
0.516 0.414 0.504
0.547 0.748 0.262
0.586 0.101 0.504
0.748 0.563 0.045
0.787 0.921 0.775
0.815 0.252 0.045
0.899 0.484 0.504



(9)
KGa2I2 (PBE, relaxed); M_tot = 0.00 μB/cell; uncorrected formation energy = -55.8 kJ per mole of atoms; E = -26.29 eV/cell
1.0
4.126 0.000 0.000
0.000 4.126 0.000
0.000 0.000 19.610
K Ga I
2 4 4
direct
0.000 0.000 0.000
0.500 0.500 0.500
0.000 0.500 0.250
0.000 0.500 0.750
0.500 0.000 0.250
0.500 0.000 0.750
0.000 0.000 0.391
0.000 0.000 0.609
0.500 0.500 0.109
0.500 0.500 0.891



(10)
K2GaI (PBE, relaxed); M_tot = 7.91 μB/cell; uncorrected formation energy = -31.1 kJ per mole of atoms; E = -32.24 eV/cell
1.0
8.637 0.000 0.000
0.000 8.637 0.000
0.000 0.000 8.637
K Ga I
8 4 4
direct
0.250 0.250 0.250
0.250 0.250 0.750
0.250 0.750 0.250
0.250 0.750 0.750
0.750 0.250 0.250
0.750 0.250 0.750
0.750 0.750 0.250
0.750 0.750 0.750
0.000 0.000 0.000
0.000 0.500 0.500
0.500 0.000 0.500
0.500 0.500 0.000
0.000 0.000 0.500
0.000 0.500 0.000
0.500 0.000 0.000
0.500 0.500 0.500



(11)
KGa3I (PBE, relaxed); M_tot = 0.00 μB/cell; uncorrected formation energy = 31.0 kJ per mole of atoms; E = -10.12 eV/cell
1.0
6.037 0.000 0.000
0.000 6.037 0.000
0.000 0.000 6.037
K Ga I
1 3 1
direct
0.000 0.000 0.000
0.000 0.500 0.500
0.500 0.000 0.500
0.500 0.500 0.000
0.500 0.500 0.500



(12)
KGa2I8 (PBE, relaxed); M_tot = 0.00 μB/cell; uncorrected formation energy = -56.0 kJ per mole of atoms; E = -25.94 eV/cell
1.0
8.578 -5.242 0.000
8.578 5.242 0.000
-2.437 0.000 7.233
K Ga I
1 2 8
direct
0.000 0.000 0.000
0.176 0.176 0.687
0.824 0.824 0.313
0.107 0.706 0.270
0.198 0.198 0.371
0.294 0.893 0.730
0.312 0.312 0.957
0.688 0.688 0.043
0.706 0.107 0.270
0.802 0.802 0.629
0.893 0.294 0.730